The following is a DFT calculation (GGA-PBEsol) of a relaxed LaMg2Sc crystal.

crystal system = orthorhombic
final energy = -30.70 eV/cell

Geometry as CIF:
```
data_LaMg2Sc
_symmetry_space_group_name_H-M 'C m m m'
_symmetry_Int_Tables_number 65
_symmetry_space_group_name_Hall '-C 2 2'
_cell_length_a 6.777
_cell_length_b 9.322
_cell_length_c 3.281
_cell_angle_alpha 90.00
_cell_angle_beta 90.00
_cell_angle_gamma 90.00
loop_
_atom_site_label
_atom_site_fract_x
_atom_site_fract_y
_atom_site_fract_z
La1 0.000 0.000 0.000
Mg1 0.250 0.250 0.500
Sc1 0.000 0.500 0.000
```